(1)
Pm3CoRh | GGA-PBE | optimized geometry

Unit cell a=8.532 b=7.314 c=8.346 alpha=90.00 beta=99.34 gamma=90.00
Space group P2_1/c (No. 14)
Unique sites:
Pm 0.052 0.004 0.307 x4
Pm 0.305 0.682 0.540 x4
Pm 0.341 0.195 0.675 x4
Co 0.397 0.503 0.886 x4
Rh 0.046 0.184 0.003 x4

Summary:
The calculation puts the formation energy at -0.294 eV per atom. Its energy above the most stable polymorph in this dataset is 0.023 eV/atom.

(2)
Pm8CoRh2 | GGA-PBE | optimized geometry

Unit cell a=8.505 b=12.452 c=6.397 alpha=90.00 beta=111.56 gamma=90.00
Space group Cm (No. 8)
Unique sites:
Pm 0.000 0.000 0.000 x2
Pm 0.075 0.366 0.809 x4
Pm 0.141 0.133 0.560 x4
Pm 0.211 0.500 0.393 x2
Pm 0.353 0.187 0.195 x4
Co 0.355 0.000 0.405 x2
Rh 0.361 0.315 0.694 x4

Summary:
The calculation puts the formation energy at -0.220 eV per atom. Its energy above the most stable polymorph in this dataset is 0.043 eV/atom.

(3)
Pm8Co2Rh | GGA-PBE | optimized geometry

Unit cell a=8.207 b=12.498 c=6.343 alpha=90.00 beta=109.16 gamma=90.00
Space group Cm (No. 8)
Unique sites:
Pm 0.000 0.000 0.000 x2
Pm 0.073 0.366 0.808 x4
Pm 0.146 0.134 0.590 x4
Pm 0.219 0.500 0.386 x2
Pm 0.362 0.208 0.195 x4
Co 0.357 0.311 0.692 x4
Rh 0.358 0.000 0.015 x2

Summary:
The calculation puts the formation energy at -0.101 eV per atom. Its energy above the most stable polymorph in this dataset is 0.044 eV/atom.

(4)
Pm8CoRh2 | GGA-PBE | optimized geometry

Unit cell a=17.560 b=5.050 c=6.854 alpha=90.00 beta=98.88 gamma=90.00
Space group C2/m (No. 12)
Unique sites:
Pm 0.036 0.000 0.282 x4
Pm 0.087 0.500 0.931 x4
Pm 0.162 0.500 0.463 x4
Pm 0.202 0.000 0.837 x4
Co 0.000 0.500 0.500 x2
Rh 0.209 0.000 0.243 x4

Summary:
The calculation puts the formation energy at -0.263 eV per atom. Its energy above the most stable polymorph in this dataset is 0.000 eV/atom.

Which formula does entry 2 have? Pm8CoRh2